[1]
# Ba5PrBi5 (PBE, optimized geometry)
# total DFT energy (no corrections)	-3.834	eV per atom
# DFT formation energy	-8.38	eV/f.u.
# magnetic moment	0.00	μB/f.u.
data_Ba5PrBi5
_cell_length_a 16.424
_cell_length_b 7.007
_cell_length_c 9.716
_cell_angle_alpha 90.00
_cell_angle_beta 107.96
_cell_angle_gamma 90.00
_symmetry_space_group_name_H-M 'C 1 2/m 1'
_symmetry_Int_Tables_number 12
loop_
_symmetry_equiv_pos_as_xyz
'x,y,z'
'-x,-y,-z'
'-x,y,-z'
'x,-y,z'
'x+1/2,y+1/2,z'
'-x+1/2,-y+1/2,-z'
'-x+1/2,y+1/2,-z'
'x+1/2,-y+1/2,z'
loop_
_atom_site_label
_atom_site_type_symbol
_atom_site_fract_x
_atom_site_fract_y
_atom_site_fract_z
Ba1 Ba 0.000 0.000 0.000
Ba2 Ba 0.174 0.500 0.347
Ba3 Ba 0.184 0.500 0.822
Pr1 Pr 0.000 0.000 0.500
Bi1 Bi 0.000 0.500 0.500
Bi2 Bi 0.149 0.000 0.339
Bi3 Bi 0.156 0.000 0.820

***

[2]
# AcTb2Ge2 (PBE, optimized geometry)
# total DFT energy (no corrections)	-5.092	eV per atom
# DFT formation energy	-2.85	eV/f.u.
# magnetic moment	0.00	μB/f.u.
data_AcTb2Ge2
_cell_length_a 12.694
_cell_length_b 3.926
_cell_length_c 5.808
_cell_angle_alpha 90.00
_cell_angle_beta 101.90
_cell_angle_gamma 90.00
_symmetry_space_group_name_H-M 'C 1 2/m 1'
_symmetry_Int_Tables_number 12
loop_
_symmetry_equiv_pos_as_xyz
'x,y,z'
'-x,-y,-z'
'-x,y,-z'
'x,-y,z'
'x+1/2,y+1/2,z'
'-x+1/2,-y+1/2,-z'
'-x+1/2,y+1/2,-z'
'x+1/2,-y+1/2,z'
loop_
_atom_site_label
_atom_site_type_symbol
_atom_site_fract_x
_atom_site_fract_y
_atom_site_fract_z
Ac1 Ac 0.000 0.000 0.000
Tb1 Tb 0.142 0.500 0.567
Ge1 Ge 0.216 0.500 0.115

***

[3]
# Pu2SbI (PBE, optimized geometry)
# total DFT energy (no corrections)	-9.215	eV per atom
# formation energy (no corrections)	-2.52	eV per formula unit
# magnetic moment	11.96	μB/f.u.
data_Pu2SbI
_cell_length_a 7.637
_cell_length_b 7.637
_cell_length_c 7.637
_cell_angle_alpha 90.00
_cell_angle_beta 90.00
_cell_angle_gamma 90.00
_symmetry_space_group_name_H-M 'F m -3 m'
_symmetry_Int_Tables_number 225
_symmetry_space_group_name_Hall '-F 4 2 3'
loop_
_atom_site_label
_atom_site_type_symbol
_atom_site_fract_x
_atom_site_fract_y
_atom_site_fract_z
Pu1 Pu 0.250 0.250 0.250
Sb1 Sb 0.000 0.000 0.000
I1 I 0.000 0.000 0.500

***

[4]
# Sr2Cu4GeP3 (PBE, optimized geometry)
# total DFT energy (no corrections)	-4.582	eV per atom
# DFT formation energy	-5.22	eV/f.u.
# magnetic moment	0.00	μB/f.u.
data_Sr2Cu4GeP3
_cell_length_a 4.152
_cell_length_b 4.152
_cell_length_c 10.093
_cell_angle_alpha 90.00
_cell_angle_beta 90.00
_cell_angle_gamma 90.00
_symmetry_space_group_name_H-M 'P -4 m 2'
_symmetry_Int_Tables_number 115
loop_
_symmetry_equiv_pos_as_xyz
'x,y,z'
'y,-x,-z'
'-x,-y,z'
'-y,x,-z'
'-x,y,z'
'-y,-x,-z'
'x,-y,z'
'y,x,-z'
loop_
_atom_site_label
_atom_site_type_symbol
_atom_site_fract_x
_atom_site_fract_y
_atom_site_fract_z
Sr1 Sr 0.000 0.500 0.241
Cu1 Cu 0.000 0.000 0.000
Cu2 Cu 0.000 0.500 0.636
Cu3 Cu 0.500 0.500 0.000
Ge1 Ge 0.000 0.000 0.500
P1 P 0.000 0.500 0.871
P2 P 0.500 0.500 0.500

***

[5]
# La4PBr2O (PBE, optimized geometry)
# total DFT energy (no corrections)	-5.958	eV per atom
# formation energy (no corrections)	-14.24	eV per formula unit
# magnetic moment	0.00	μB/f.u.
data_La4PBr2O
_cell_length_a 6.985
_cell_length_b 4.027
_cell_length_c 7.764
_cell_angle_alpha 90.00
_cell_angle_beta 107.51
_cell_angle_gamma 90.00
_symmetry_space_group_name_H-M 'P 1 2/m 1'
_symmetry_Int_Tables_number 10
loop_
_symmetry_equiv_pos_as_xyz
'x,y,z'
'-x,-y,-z'
'-x,y,-z'
'x,-y,z'
loop_
_atom_site_label
_atom_site_type_symbol
_atom_site_fract_x
_atom_site_fract_y
_atom_site_fract_z
La1 La 0.210 0.000 0.191
La2 La 0.237 0.500 0.803
P1 P 0.500 0.000 0.000
Br1 Br 0.000 0.000 0.500
Br2 Br 0.500 0.500 0.500
O1 O 0.000 0.500 0.000

***

[6]
# UCo2H (PBE, optimized geometry)
# total DFT energy (no corrections)	-6.798	eV per atom
# magnetic moment	0.00	μB/f.u.
# offset from the most stable computed form	6.8	kJ per mole of atoms
data_UCo2H
_cell_length_a 3.3433
_cell_length_b 3.3433
_cell_length_c 18.8295
_cell_angle_alpha 90.00
_cell_angle_beta 90.00
_cell_angle_gamma 120.00
_symmetry_space_group_name_H-M 'R -3 m'
_symmetry_Int_Tables_number 166
_symmetry_space_group_name_Hall '-R 3 2"'
loop_
_atom_site_label
_atom_site_type_symbol
_atom_site_fract_x
_atom_site_fract_y
_atom_site_fract_z
U1 U 0.0000 0.0000 0.0000
Co1 Co 0.0000 0.0000 0.4145
H1 H 0.0000 0.0000 0.5000

***

[7]
# Ac3ZnAg3O8 (PBE, optimized geometry)
# total DFT energy (no corrections)	-5.780	eV per atom
# formation energy (no corrections)	-24.87	eV per formula unit
# magnetic moment	1.90	μB/f.u.
data_Ac3ZnAg3O8
_cell_length_a 11.499
_cell_length_b 8.189
_cell_length_c 8.241
_cell_angle_alpha 90.00
_cell_angle_beta 130.15
_cell_angle_gamma 90.00
_symmetry_space_group_name_H-M 'C 1 2/m 1'
_symmetry_Int_Tables_number 12
loop_
_symmetry_equiv_pos_as_xyz
'x,y,z'
'-x,-y,-z'
'-x,y,-z'
'x,-y,z'
'x+1/2,y+1/2,z'
'-x+1/2,-y+1/2,-z'
'-x+1/2,y+1/2,-z'
'x+1/2,-y+1/2,z'
loop_
_atom_site_label
_atom_site_type_symbol
_atom_site_fract_x
_atom_site_fract_y
_atom_site_fract_z
Ac1 Ac 0.000 0.000 0.000
Ac2 Ac 0.250 0.250 0.500
Zn1 Zn 0.000 0.500 0.000
Ag1 Ag 0.000 0.500 0.500
Ag2 Ag 0.250 0.250 0.000
O1 O 0.020 0.218 0.812
O2 O 0.194 0.500 0.262
O3 O 0.233 0.500 0.666